This record from Alexandria via LeMat-Bulk describes a relaxed Tb2ScPa crystal. The functional is PBE.

Values from the calculation:
- E above lowest polymorph: 80 meV per atom

CIF file:
```
data_Tb2ScPa
_cell_length_a 4.827
_cell_length_b 4.827
_cell_length_c 4.793
_cell_angle_alpha 90.00
_cell_angle_beta 90.00
_cell_angle_gamma 90.00
_space_group_name_H-M_alt 'P 4/m m m'
_space_group_IT_number 123
_space_group_name_Hall '-P 4 2'
loop_
_atom_site_label
_atom_site_fract_x
_atom_site_fract_y
_atom_site_fract_z
Tb1 0.000 0.500 0.000
Sc1 0.000 0.000 0.500
Pa1 0.500 0.500 0.500
```